A relaxed KLi2MgSn crystal. Source: Alexandria via LeMat-Bulk, functional PBE-GGA.

Values from the calculation:
The value obtained for the total energy is -10.89 eV for the cell shown. The symmetry is No. 123. As for the formation energy: -0.074 eV/atom.

abc: 5.4240 5.4240 5.5661
angles: 90.00 90.00 90.00
Atoms (fractional coordinates):
K1 0.0000 0.0000 0.0000
Li1 0.0000 0.5000 0.5000
Li2 0.5000 0.0000 0.5000
Mg1 0.5000 0.5000 0.0000
Sn1 0.5000 0.5000 0.5000

***

A relaxed KLi2MgTa crystal. Source: Alexandria via LeMat-Bulk, functional PBE-GGA.

Values from the calculation:
The value obtained for the total energy is -12.86 eV for the cell shown. The symmetry is No. 123. As for the formation energy: 1.103 eV/atom.

abc: 5.5312 5.5312 5.6690
angles: 90.00 90.00 90.00
Atoms (fractional coordinates):
K1 0.0000 0.0000 0.0000
Li1 0.0000 0.5000 0.5000
Li2 0.5000 0.0000 0.5000
Mg1 0.5000 0.5000 0.0000
Ta1 0.5000 0.5000 0.5000

***

A relaxed KLi2MgTe crystal. Source: Alexandria via LeMat-Bulk, functional PBE-GGA.

Values from the calculation:
The value obtained for the total energy is -8.94 eV for the cell shown. The formation energy from raw total energies comes out at 0.7 eV/f.u. The symmetry is No. 123.

abc: 5.2923 5.2923 6.1522
angles: 90.00 90.00 90.00
Atoms (fractional coordinates):
K1 0.0000 0.0000 0.0000
Li1 0.0000 0.5000 0.5000
Li2 0.5000 0.0000 0.5000
Mg1 0.0000 0.0000 0.5000
Te1 0.5000 0.5000 0.0000

***

A relaxed K2LiMg2Tl5 crystal. Source: Alexandria via LeMat-Bulk, functional PBE-GGA.

Values from the calculation:
The value obtained for the total energy is -39.65 eV for the cell shown. The symmetry is No. 127. As for the formation energy: -0.069 eV/atom.

abc: 12.5088 12.5088 3.7498
angles: 90.00 90.00 90.00
Atoms (fractional coordinates):
K1 0.1746 0.3254 0.0000
K2 0.3254 0.8254 0.0000
K3 0.6746 0.1746 0.0000
K4 0.8254 0.6746 0.0000
Li1 0.0000 0.0000 0.0000
Li2 0.5000 0.5000 0.0000
Mg1 0.1308 0.6308 0.0000
Mg2 0.3692 0.1308 0.0000
Mg3 0.6308 0.8692 0.0000
Mg4 0.8692 0.3692 0.0000
Tl1 0.0000 0.5000 0.5000
Tl2 0.0521 0.8146 0.5000
Tl3 0.1854 0.0521 0.5000
Tl4 0.3146 0.5521 0.5000
Tl5 0.4479 0.3146 0.5000
Tl6 0.5000 0.0000 0.5000
Tl7 0.5521 0.6854 0.5000
Tl8 0.6854 0.4479 0.5000
Tl9 0.8146 0.9479 0.5000
Tl10 0.9479 0.1854 0.5000

***

A relaxed K2LiMgTl6 crystal. Source: Alexandria via LeMat-Bulk, functional PBE-GGA.

Values from the calculation:
The value obtained for the total energy is -20.47 eV for the cell shown. The symmetry is No. 2. As for the formation energy: -0.057 eV/atom.

abc: 7.6835 7.7065 7.8236
angles: 60.70 61.00 60.26
Atoms (fractional coordinates):
K1 0.1899 0.1926 0.4248
K2 0.8101 0.8074 0.5752
Li1 0.0000 0.0000 0.0000
Mg1 0.5000 0.5000 0.5000
Tl1 0.1543 0.3336 0.8586
Tl2 0.3341 0.6573 0.8539
Tl3 0.3488 0.8437 0.1410
Tl4 0.6512 0.1563 0.8590
Tl5 0.6659 0.3427 0.1461
Tl6 0.8457 0.6664 0.1414

***

A relaxed K2Li2MgTl5 crystal. Source: Alexandria via LeMat-Bulk, functional PBE-GGA.

Values from the calculation:
The value obtained for the total energy is -40.92 eV for the cell shown. The symmetry is No. 127. As for the formation energy: -0.101 eV/atom.

abc: 12.1277 12.1277 3.8038
angles: 90.00 90.00 90.00
Atoms (fractional coordinates):
K1 0.1803 0.3197 0.0000
K2 0.3197 0.8197 0.0000
K3 0.6803 0.1803 0.0000
K4 0.8197 0.6803 0.0000
Li1 0.1260 0.6260 0.0000
Li2 0.3740 0.1260 0.0000
Li3 0.6260 0.8740 0.0000
Li4 0.8740 0.3740 0.0000
Mg1 0.0000 0.0000 0.0000
Mg2 0.5000 0.5000 0.0000
Tl1 0.0000 0.5000 0.5000
Tl2 0.0544 0.8063 0.5000
Tl3 0.1937 0.0544 0.5000
Tl4 0.3063 0.5544 0.5000
Tl5 0.4456 0.3063 0.5000
Tl6 0.5000 0.0000 0.5000
Tl7 0.5544 0.6937 0.5000
Tl8 0.6937 0.4456 0.5000
Tl9 0.8063 0.9456 0.5000
Tl10 0.9456 0.1937 0.5000

***

A relaxed KLiMg2Tl4 crystal. Source: Alexandria via LeMat-Bulk, functional PBE-GGA.

Values from the calculation:
The value obtained for the total energy is -16.44 eV for the cell shown. The symmetry is No. 166. As for the formation energy: -0.097 eV/atom.

abc: 11.2632 11.2632 11.2632
angles: 25.57 25.57 25.57
Atoms (fractional coordinates):
K1 0.0000 0.0000 0.0000
Li1 0.5000 0.5000 0.5000
Mg1 0.2256 0.2256 0.2256
Mg2 0.7744 0.7744 0.7744
Tl1 0.1275 0.1275 0.1275
Tl2 0.4015 0.4015 0.4015
Tl3 0.5985 0.5985 0.5985
Tl4 0.8725 0.8725 0.8725

***

A relaxed KLi2MgTl crystal. Source: Alexandria via LeMat-Bulk, functional PBE-GGA.

Values from the calculation:
The value obtained for the total energy is -8.72 eV for the cell shown. The symmetry is No. 123. As for the formation energy: 0.033 eV/atom.

abc: 5.4820 5.4820 5.3987
angles: 90.00 90.00 90.00
Atoms (fractional coordinates):
K1 0.0000 0.0000 0.0000
Li1 0.0000 0.5000 0.5000
Li2 0.5000 0.0000 0.5000
Mg1 0.5000 0.5000 0.0000
Tl1 0.5000 0.5000 0.5000

***

A relaxed KLiMn3 crystal. Source: Alexandria via LeMat-Bulk, functional PBE-GGA.

Values from the calculation:
The relative energy among the computed polymorphs comes out at 0.000 eV per formula unit. The value obtained for the total energy is -24.66 eV for the cell shown. The symmetry is No. 221. As for the formation energy: 1.172 eV/atom.

abc: 4.9110 4.9110 4.9110
angles: 90.00 90.00 90.00
Atoms (fractional coordinates):
K1 0.0000 0.0000 0.0000
Li1 0.5000 0.5000 0.5000
Mn1 0.0000 0.5000 0.5000
Mn2 0.5000 0.0000 0.5000
Mn3 0.5000 0.5000 0.0000

***

A relaxed K4LiMn crystal. Source: Alexandria via LeMat-Bulk, functional PBE-GGA.

Values from the calculation:
The value obtained for the total energy is -11.47 eV for the cell shown. The symmetry is No. 216. As for the formation energy: 0.668 eV/atom.

abc: 7.6770 7.6770 7.6770
angles: 60.00 60.00 60.00
Atoms (fractional coordinates):
K1 0.1254 0.1254 0.1254
K2 0.1254 0.1254 0.6238
K3 0.1254 0.6238 0.1254
K4 0.6238 0.1254 0.1254
Li1 0.7500 0.7500 0.7500
Mn1 0.5000 0.5000 0.5000

***

A relaxed KLi4Mn crystal. Source: Alexandria via LeMat-Bulk, functional PBE-GGA.

Values from the calculation:
The value obtained for the total energy is -15.52 eV for the cell shown. The symmetry is No. 216. As for the formation energy: 0.400 eV/atom.

abc: 5.9485 5.9485 5.9485
angles: 60.00 60.00 60.00
Atoms (fractional coordinates):
K1 0.0000 0.0000 0.0000
Li1 0.1337 0.6221 0.6221
Li2 0.6221 0.1337 0.6221
Li3 0.6221 0.6221 0.1337
Li4 0.6221 0.6221 0.6221
Mn1 0.2500 0.2500 0.2500

***

A relaxed KLiMn3 crystal. Source: Alexandria via LeMat-Bulk, functional PBE-GGA.

Values from the calculation:
The relative energy among the computed polymorphs comes out at 4.223 eV per formula unit. The value obtained for the total energy is -20.44 eV for the cell shown. The symmetry is No. 221. As for the formation energy: 2.017 eV/atom.

abc: 5.4274 5.4274 5.4274
angles: 90.00 90.00 90.00
Atoms (fractional coordinates):
K1 0.0000 0.0000 0.0000
Li1 0.5000 0.5000 0.5000
Mn1 0.0000 0.0000 0.5000
Mn2 0.0000 0.5000 0.0000
Mn3 0.5000 0.0000 0.0000